Model a:
A relaxed LiIrSe2N crystal, computed with PBE.

Geometry as extended XYZ:
```
5
Lattice="-2.339 3.826 2.719 -4.692 -1.994 -1.229 0.095 -2.066 2.989" Properties=species:S:1:pos:R:3 pbc="T T T"
Ir 0.000 0.000 0.000
Li -3.468 -0.117 2.239
Se -2.346 -0.997 -0.615
Se -1.169 1.913 1.359
N 0.047 -1.033 1.495
```

Results
SG: No. 123

Model b:
A relaxed LiIrSe2N crystal, computed with PBE.

Geometry as extended XYZ:
```
5
Lattice="-0.242 -2.379 -4.026 2.642 -3.395 1.847 -2.731 -1.541 1.075" Properties=species:S:1:pos:R:3 pbc="T T T"
Ir -0.166 -3.657 -0.552
Li 0.000 0.000 0.000
Se 1.321 -1.698 0.924
Se -0.121 -1.189 -2.013
N -1.366 -0.770 0.537
```

Results
SG: No. 123

So which one is most stable? That would be model a, about 1072 meV per atom below the next structure.

Model a:
A relaxed LiTe2IrN crystal, computed with PBE.

Geometry as extended XYZ:
```
5
Lattice="5.032 0.000 0.000 0.000 5.032 0.000 0.000 0.000 3.330" Properties=species:S:1:pos:R:3 pbc="T T T"
Ir 2.516 2.516 1.665
Te 0.000 2.516 0.000
Te 2.516 0.000 0.000
Li 0.000 0.000 0.000
N 0.000 0.000 1.665
```

Results
SG: No. 123

Model b:
A relaxed LiTe2IrN crystal, computed with PBE.

Geometry as extended XYZ:
```
5
Lattice="-0.474 -2.654 4.967 -1.753 -4.668 -2.661 3.439 -1.133 -0.277" Properties=species:S:1:pos:R:3 pbc="T T T"
Ir 0.000 0.000 0.000
Te -0.876 -2.334 -1.331
Te -0.237 -1.327 2.484
Li 0.607 -4.228 1.014
N 1.720 -0.567 -0.139
```

Results
SG: No. 123

So which one is most stable? That would be model b, about 972 meV per atom below the next structure.

Model a:
A relaxed NaLiIr2 crystal, computed with PBE.

Geometry as extended XYZ:
```
8
Lattice="-0.581 -0.220 -3.620 -1.483 -3.331 0.440 -9.898 2.328 -0.415" Properties=species:S:1:pos:R:3 pbc="T T T"
Na 0.000 0.000 0.000
Na -5.756 0.167 -2.812
Ir -2.740 0.136 -0.545
Ir -3.758 -1.634 -2.047
Ir -8.922 -1.211 -1.289
Ir -8.506 0.265 -3.308
Li -1.032 -1.775 -1.590
Li -6.207 -1.389 -0.782
```

Results
SG: No. 122

Model b:
A relaxed NaLiIr2 crystal, computed with PBE.

Geometry as extended XYZ:
```
4
Lattice="0.000 3.072 3.072 3.072 0.000 3.072 3.072 3.072 0.000" Properties=species:S:1:pos:R:3 pbc="T T T"
Na 3.072 3.072 3.072
Ir 1.536 1.536 1.536
Ir 4.609 4.609 4.609
Li 0.000 0.000 0.000
```

Results
SG: No. 225

So which one is most stable? That would be model a, about 328 meV per atom below the next structure.

Model a:
A relaxed LiNb3Ir crystal, computed with PBE.

Geometry as extended XYZ:
```
5
Lattice="-0.027 3.682 2.296 -4.219 0.513 -0.873 -1.012 -2.238 3.577" Properties=species:S:1:pos:R:3 pbc="T T T"
Nb -2.110 0.257 -0.437
Nb -0.506 -1.119 1.789
Nb -0.014 1.841 1.148
Ir -2.630 0.978 2.500
Li 0.000 0.000 0.000
```

Results
SG: No. 221

Model b:
A relaxed LiNb3Ir crystal, computed with PBE.

Geometry as extended XYZ:
```
5
Lattice="4.913 0.000 0.000 0.000 4.913 0.000 0.000 0.000 4.913" Properties=species:S:1:pos:R:3 pbc="T T T"
Nb 0.000 2.456 0.000
Nb 0.000 0.000 2.456
Nb 2.456 0.000 0.000
Ir 0.000 0.000 0.000
Li 2.456 2.456 2.456
```

Results
SG: No. 221

So which one is most stable? That would be model b, about 8 meV per atom below the next structure.

Model a:
A relaxed LiNbIr2 crystal, computed with PBE.

Geometry as extended XYZ:
```
8
Lattice="-2.926 6.231 -0.864 -2.199 -1.906 -6.298 -4.923 1.208 -2.468" Properties=species:S:1:pos:R:3 pbc="T T T"
Nb 0.000 0.000 0.000
Nb -5.206 4.801 -3.456
Ir -3.378 4.050 -1.957
Ir -2.928 -0.203 -4.648
Ir -5.582 2.556 -4.443
Ir -8.210 4.662 -8.211
Li -2.563 2.162 -3.581
Li -4.842 0.732 -6.173
```

Results
SG: No. 122

Model b:
A relaxed LiNbIr2 crystal, computed with PBE.

Geometry as extended XYZ:
```
4
Lattice="3.154 0.000 0.000 0.000 3.154 0.000 0.000 0.000 5.855" Properties=species:S:1:pos:R:3 pbc="T T T"
Nb 1.577 1.577 2.928
Ir 0.000 0.000 4.481
Ir 0.000 0.000 1.374
Li 1.577 1.577 0.000
```

Results
SG: No. 123

So which one is most stable? That would be model b, about 540 meV per atom below the next structure.

Model a:
A relaxed LiNiIr crystal, computed with PBE.

Geometry as extended XYZ:
```
3
Lattice="4.462 -0.010 -0.003 2.073 3.951 0.003 -2.801 -2.744 2.129" Properties=species:S:1:pos:R:3 pbc="T T T"
Ir 0.028 0.017 0.000
Li 2.178 1.314 0.000
Ni 4.329 2.610 0.000
```

Results
SG: No. 44

Model b:
A relaxed LiNiIr crystal, computed with PBE.

Geometry as extended XYZ:
```
3
Lattice="-0.043 -3.239 -2.268 1.107 -3.484 1.508 -2.693 -2.824 0.637" Properties=species:S:1:pos:R:3 pbc="T T T"
Ir 0.000 0.000 0.000
Li -0.815 -4.774 -0.062
Ni -1.222 -7.161 -0.092
```

Results
SG: No. 216

So which one is most stable? That would be model a, about 346 meV per atom below the next structure.

Model a:
A relaxed LiNiIr crystal, computed with PBE.

Geometry as extended XYZ:
```
3
Lattice="-5.049 3.275 3.431 -6.224 1.975 1.493 -0.069 -1.079 2.378" Properties=species:S:1:pos:R:3 pbc="T T T"
Ir -0.093 -1.065 2.383
Li -3.779 1.017 3.221
Ni -7.539 3.141 4.075
```

Results
SG: No. 42

Model b:
A relaxed LiNiIr crystal, computed with PBE.

Geometry as extended XYZ:
```
3
Lattice="-1.652 2.329 5.374 -4.046 -0.365 4.531 3.928 -2.211 -4.088" Properties=species:S:1:pos:R:3 pbc="T T T"
Ir -0.049 0.017 0.086
Li -1.893 0.653 3.291
Ni -3.755 1.294 6.528
```

Results
SG: No. 107

Model c:
A relaxed LiNiIr crystal, computed with PBE.

Geometry as extended XYZ:
```
3
Lattice="-1.690 3.529 -1.254 -2.292 -3.401 0.249 -0.587 0.571 2.398" Properties=species:S:1:pos:R:3 pbc="T T T"
Ir -0.002 0.002 0.009
Li -2.169 1.489 0.382
Ni -2.398 -0.793 1.001
```

Results
SG: No. 156

Model d:
A relaxed LiNiIr crystal, computed with PBE.

Geometry as extended XYZ:
```
12
Lattice="2.619 0.000 0.000 0.000 5.178 0.000 0.000 0.000 11.234" Properties=species:S:1:pos:R:3 pbc="T T T"
Li 1.964 3.145 6.641
Li 0.654 4.623 1.024
Li 0.655 2.033 4.593
Li 1.964 0.556 10.210
Ni 1.964 3.299 2.825
Ni 0.655 4.469 8.442
Ni 0.655 1.879 8.409
Ni 1.964 0.710 2.792
Ir 1.964 0.514 6.634
Ir 0.655 2.075 1.017
Ir 0.654 4.664 4.600
Ir 1.964 3.103 10.217
```

Results
SG: No. 62

So which one is most stable? That would be model d, about 158 meV per atom below the next structure.

Model a:
A relaxed LiNiIr crystal, computed with PBE.

Geometry as extended XYZ:
```
6
Lattice="-3.682 0.029 -0.822 -0.253 -5.359 0.940 -0.832 -0.696 3.698" Properties=species:S:1:pos:R:3 pbc="T T T"
Ir -1.797 -5.868 3.509
Ir -2.969 -0.158 0.306
Ni -1.074 -1.843 0.416
Ni -3.692 -4.183 3.399
Li -3.328 -2.256 1.839
Li -1.438 -3.770 1.977
```

Results
SG: No. 63

Model b:
A relaxed LiNiIr crystal, computed with PBE.

Geometry as extended XYZ:
```
3
Lattice="4.858 0.046 0.000 3.119 3.725 0.000 -3.989 -1.886 2.035" Properties=species:S:1:pos:R:3 pbc="T T T"
Ir 0.012 0.006 0.000
Li 2.601 1.230 0.000
Ni 5.364 2.536 0.000
```

Results
SG: No. 107

So which one is most stable? That would be model a, about 64 meV per atom below the next structure.

Model a:
A relaxed Li2NiIr crystal, computed with PBE.

Geometry as extended XYZ:
```
4
Lattice="-1.625 0.677 -4.718 -2.185 -3.849 -2.402 0.036 3.316 3.789" Properties=species:S:1:pos:R:3 pbc="T T T"
Ni -1.747 1.204 -2.244
Ir -2.027 -1.059 -1.086
Li -3.765 -3.134 -7.036
Li -1.950 -1.623 -3.643
```

Results
SG: No. 71

Model b:
A relaxed Li2NiIr crystal, computed with PBE.

Geometry as extended XYZ:
```
4
Lattice="2.666 0.000 0.000 0.000 2.666 0.000 0.000 0.000 7.982" Properties=species:S:1:pos:R:3 pbc="T T T"
Ir 1.333 1.333 5.817
Li 0.000 0.000 7.726
Li 1.333 1.333 2.307
Ni 0.000 0.000 4.105
```

Results
SG: No. 99

So which one is most stable? That would be model a, about 156 meV per atom below the next structure.

Model a:
A relaxed Li3NiIr crystal, computed with PBE.

Geometry as extended XYZ:
```
5
Lattice="-3.724 1.841 -1.848 -2.104 -0.215 4.025 1.542 4.152 1.028" Properties=species:S:1:pos:R:3 pbc="T T T"
Ni -2.143 2.889 1.602
Ir 0.000 0.000 0.000
Li -1.052 -0.108 2.012
Li 0.771 2.076 0.514
Li -1.862 0.920 -0.924
```

Results
SG: No. 221

Model b:
A relaxed Li3NiIr crystal, computed with PBE.

Geometry as extended XYZ:
```
5
Lattice="4.105 0.000 0.000 0.000 4.105 0.000 0.000 0.000 4.105" Properties=species:S:1:pos:R:3 pbc="T T T"
Ni 0.000 0.000 0.000
Ir 2.053 2.053 2.053
Li 0.000 2.053 0.000
Li 0.000 0.000 2.053
Li 2.053 0.000 0.000
```

Results
SG: No. 221

Model c:
A relaxed Li3NiIr crystal, computed with PBE.

Geometry as extended XYZ:
```
5
Lattice="-1.053 -4.326 1.031 -0.296 0.526 -4.846 3.195 -2.924 -2.255" Properties=species:S:1:pos:R:3 pbc="T T T"
Li -1.174 -3.954 -1.417
Li 0.572 -5.680 -0.122
Li 0.949 -3.253 -3.061
Ni -1.026 -4.219 1.006
Ir -0.500 -2.056 0.490
```

Results
SG: No. 166

So which one is most stable? That would be model c, about 494 meV per atom below the next structure.

Model a:
A relaxed Li6NiIr2 crystal, computed with PBE.

Geometry as extended XYZ:
```
9
Lattice="-2.438 -0.364 4.296 -2.437 -3.517 -2.497 4.000 -2.652 1.228" Properties=species:S:1:pos:R:3 pbc="T T T"
Li 1.703 -4.028 0.493
Li -0.438 -2.217 3.773
Li -2.578 -2.504 2.534
Li 1.703 -2.979 2.752
Li -0.437 -4.316 -0.745
Li -2.577 -3.554 0.275
Ni 0.000 0.000 0.000
Ir -0.587 -4.381 2.030
Ir -0.288 -2.152 0.998
```

Results
SG: No. 166

Model b:
A relaxed Li6NiIr2 crystal, computed with PBE.

Geometry as extended XYZ:
```
9
Lattice="2.563 0.087 0.123 0.088 7.700 -1.069 0.088 -3.547 6.918" Properties=species:S:1:pos:R:3 pbc="T T T"
Li 2.357 3.451 0.599
Li 0.381 0.790 5.372
Li 1.615 2.986 4.205
Li 2.357 -0.572 3.455
Li 0.381 4.812 2.516
Li 1.123 1.254 1.766
Ni 0.000 0.000 0.000
Ir 1.369 5.958 0.260
Ir 1.369 -1.718 5.711
```

Results
SG: No. 12

So which one is most stable? That would be model a, about 31 meV per atom below the next structure.